{
  "formula": "CeSbRh",
  "functional": "PBE",
  "state": "optimized geometry",
  "dos_at_fermi_per_ev_atom": 0.94,
  "spacegroup": "C2/m, No. 12",
  "formation_energy_uncorrected_ev_per_fu": -2.49,
  "cell": [[5.4443, -2.2214, 0.0000], [5.4443, 2.2214, 0.0000], [-4.6354, 0.0000, 5.5760]],
  "species": ["Ce", "Ce", "Sb", "Sb", "Rh", "Rh"],
  "frac_coords": [[0.0644, 0.0644, 0.3339], [0.9356, 0.9356, 0.6661], [0.3337, 0.3337, 0.9192], [0.6663, 0.6663, 0.0808], [0.3326, 0.3326, 0.3074], [0.6674, 0.6674, 0.6926]]
}

---

{
  "formula": "Pa2TcIr",
  "functional": "PBE",
  "state": "optimized geometry",
  "delta_e_f_ev_per_atom": -0.399,
  "dos_at_fermi_per_ev_atom": 1.35,
  "spacegroup": "P4/mmm, No. 123",
  "relative_energy_ev_per_fu": 0.00,
  "cell": [[3.4065, 0.0000, 0.0000], [0.0000, 3.4065, 0.0000], [0.0000, 0.0000, 7.0593]],
  "species": ["Pa", "Pa", "Tc", "Ir"],
  "frac_coords": [[0.0000, 0.0000, 0.2498], [0.0000, 0.0000, 0.7502], [0.5000, 0.5000, 0.0000], [0.5000, 0.5000, 0.5000]]
}

---

{
  "formula": "AcDy2F11",
  "functional": "PBE",
  "state": "optimized geometry",
  "dos_at_fermi_per_ev_atom": 0.98,
  "spacegroup": "Ibam, No. 72",
  "formation_energy_uncorrected_ev_per_fu": -48.58,
  "cell": [[-4.2482, 5.2061, 6.0669], [4.2482, -5.2061, 6.0669], [4.2482, 5.2061, -6.0669]],
  "species": ["Ac", "Ac", "Dy", "Dy", "Dy", "Dy", "F", "F", "F", "F", "F", "F", "F", "F", "F", "F", "F", "F", "F", "F", "F", "F", "F", "F", "F", "F", "F", "F"],
  "frac_coords": [[0.2500, 0.2500, 0.0000], [0.7500, 0.7500, 0.0000], [0.1875, 0.6538, 0.8413], [0.3125, 0.1538, 0.4664], [0.6875, 0.8462, 0.5336], [0.8125, 0.3462, 0.1587], [0.0000, 0.5000, 0.5000], [0.0430, 0.9745, 0.2895], [0.0471, 0.3422, 0.1387], [0.1850, 0.4745, 0.9315], [0.1999, 0.3894, 0.5893], [0.2035, 0.9084, 0.8613], [0.2965, 0.1578, 0.7049], [0.3001, 0.8894, 0.1895], [0.3150, 0.2465, 0.2895], [0.4529, 0.5916, 0.2951], [0.4570, 0.7465, 0.9315], [0.5000, 0.0000, 0.5000], [0.5430, 0.2535, 0.0685], [0.5471, 0.4084, 0.7049], [0.6850, 0.7535, 0.7105], [0.6999, 0.1106, 0.8105], [0.7035, 0.8422, 0.2951], [0.7965, 0.0916, 0.1387], [0.8001, 0.6106, 0.4107], [0.8150, 0.5255, 0.0685], [0.9529, 0.6578, 0.8613], [0.9570, 0.0255, 0.7105]]
}